This record from Alexandria via LeMat-Bulk describes a relaxed structure of NbV5. The functional is PBE-GGA.

Unit cell a=4.3351 b=4.3351 c=5.2838 alpha=90.00 beta=90.00 gamma=120.00
Space group P-3m1 (No. 164)
Symmetry-distinct sites (fractional):
Nb: 0.0000 0.0000 0.0000
V: 0.0000 0.0000 0.5000
V: 0.3333 0.6667 0.1777
V: 0.3333 0.6667 0.6537

Energy of formation, eV/atom: 0.030
Total moment, μB/cell: 0.0
Energy relative to the lowest polymorph listed for this composition, meV per atom: 0